(1)
# PBE AcZnPS, relaxed
# calculated total energy = -4.86 eV/atom
# Fermi-level density of states = 0.01 states/eV/f.u.
# volume = 202.6 Å³ per cell
# crystal system = trigonal
# formation energy from raw total energies = -1.13 eV/atom
data_AcZnPS
_space_group_name_H-M_alt 'P 1'
_space_group_IT_number 1
_space_group_name_Hall 'P 1'
_cell_length_a 4.506
_cell_length_b 4.506
_cell_length_c 11.815
_cell_angle_alpha 79.01
_cell_angle_beta 79.01
_cell_angle_gamma 60.00
loop_
_atom_site_label
_atom_site_fract_x
_atom_site_fract_y
_atom_site_fract_z
Ac1 0.104 0.104 0.687
Ac2 0.896 0.896 0.313
Zn1 0.693 0.693 0.922
Zn2 0.307 0.307 0.078
P1 0.622 0.622 0.133
P2 0.378 0.378 0.867
S1 0.803 0.803 0.592
S2 0.197 0.197 0.408

---

(2)
# PBE AcSbP, relaxed
# calculated total energy = -5.21 eV/atom
# Fermi-level density of states = 1.15 states/eV/f.u.
# volume = 84.2 Å³ per cell
# crystal system = hexagonal
# formation energy from raw total energies = -0.66 eV/atom
# offset from the most stable computed form = 23.1 meV/atom
data_AcSbP
_space_group_name_H-M_alt 'P 1'
_space_group_IT_number 1
_space_group_name_Hall 'P 1'
_cell_length_a 4.275
_cell_length_b 4.768
_cell_length_c 4.768
_cell_angle_alpha 120.00
_cell_angle_beta 90.00
_cell_angle_gamma 90.00
loop_
_atom_site_label
_atom_site_fract_x
_atom_site_fract_y
_atom_site_fract_z
Sb1 0.500 0.667 0.333
Ac1 0.000 0.000 0.000
P1 0.500 0.333 0.667

---

(3)
# PBE Ac2SbP, relaxed
# calculated total energy = -5.38 eV/atom
# Fermi-level density of states = 1.72 states/eV/f.u.
# volume = 123.3 Å³ per cell
# crystal system = cubic
# formation energy from raw total energies = -0.95 eV/atom
# offset from the most stable computed form = 368.8 meV/atom
data_Ac2SbP
_space_group_name_H-M_alt 'P 1'
_space_group_IT_number 1
_space_group_name_Hall 'P 1'
_cell_length_a 5.587
_cell_length_b 5.587
_cell_length_c 5.587
_cell_angle_alpha 60.00
_cell_angle_beta 60.00
_cell_angle_gamma 60.00
loop_
_atom_site_label
_atom_site_fract_x
_atom_site_fract_y
_atom_site_fract_z
Sb1 0.500 0.500 0.500
Ac1 0.250 0.250 0.250
Ac2 0.750 0.750 0.750
P1 0.000 0.000 0.000

---

(4)
# PBE AcSb2P, relaxed
# calculated total energy = -4.65 eV/atom
# Fermi-level density of states = 2.83 states/eV/f.u.
# volume = 118.2 Å³ per cell
# crystal system = trigonal
# formation energy from raw total energies = -0.21 eV/atom
# offset from the most stable computed form = 277.4 meV/atom
data_AcSb2P
_space_group_name_H-M_alt 'P 1'
_space_group_IT_number 1
_space_group_name_Hall 'P 1'
_cell_length_a 5.077
_cell_length_b 5.077
_cell_length_c 6.051
_cell_angle_alpha 65.20
_cell_angle_beta 65.20
_cell_angle_gamma 60.00
loop_
_atom_site_label
_atom_site_fract_x
_atom_site_fract_y
_atom_site_fract_z
Sb1 0.709 0.709 0.872
Sb2 0.291 0.291 0.128
Ac1 0.500 0.500 0.500
P1 0.000 0.000 0.000

---

(5)
# PBE Ac2SbP, relaxed
# calculated total energy = -5.45 eV/atom
# Fermi-level density of states = 1.90 states/eV/f.u.
# volume = 120.3 Å³ per cell
# crystal system = tetragonal
# formation energy from raw total energies = -1.01 eV/atom
# offset from the most stable computed form = 301.9 meV/atom
data_Ac2SbP
_space_group_name_H-M_alt 'P 1'
_space_group_IT_number 1
_space_group_name_Hall 'P 1'
_cell_length_a 3.842
_cell_length_b 3.842
_cell_length_c 8.152
_cell_angle_alpha 90.00
_cell_angle_beta 90.00
_cell_angle_gamma 90.00
loop_
_atom_site_label
_atom_site_fract_x
_atom_site_fract_y
_atom_site_fract_z
Sb1 0.500 0.500 0.500
Ac1 0.000 0.000 0.777
Ac2 0.000 0.000 0.223
P1 0.500 0.500 0.000

---

(6)
# PBE Ac2SbP, relaxed
# calculated total energy = -5.75 eV/atom
# Fermi-level density of states = 0.64 states/eV/f.u.
# volume = 139.6 Å³ per cell
# crystal system = trigonal
# formation energy from raw total energies = -1.32 eV/atom
# offset from the most stable computed form = 1.4 meV/atom
data_Ac2SbP
_space_group_name_H-M_alt 'P 1'
_space_group_IT_number 1
_space_group_name_Hall 'P 1'
_cell_length_a 4.605
_cell_length_b 4.605
_cell_length_c 8.055
_cell_angle_alpha 73.39
_cell_angle_beta 73.39
_cell_angle_gamma 60.00
loop_
_atom_site_label
_atom_site_fract_x
_atom_site_fract_y
_atom_site_fract_z
Sb1 0.500 0.500 0.500
Ac1 0.257 0.257 0.230
Ac2 0.743 0.743 0.770
P1 0.000 0.000 0.000

---

(7)
# PBE Ac3Sb2P, relaxed
# calculated total energy = -5.60 eV/atom
# Fermi-level density of states = 0.95 states/eV/f.u.
# volume = 871.1 Å³ per cell
# crystal system = orthorhombic
# formation energy from raw total energies = -1.27 eV/atom
data_Ac3Sb2P
_space_group_name_H-M_alt 'P 1'
_space_group_IT_number 1
_space_group_name_Hall 'P 1'
_cell_length_a 8.119
_cell_length_b 8.119
_cell_length_c 14.776
_cell_angle_alpha 100.57
_cell_angle_beta 100.57
_cell_angle_gamma 109.41
loop_
_atom_site_label
_atom_site_fract_x
_atom_site_fract_y
_atom_site_fract_z
Ac1 0.163 0.678 0.827
Ac2 0.663 0.149 0.827
Ac3 0.087 0.072 0.673
Ac4 0.587 0.601 0.673
Ac5 0.017 0.517 0.500
Ac6 0.483 0.983 0.500
Ac7 0.399 0.413 0.327
Ac8 0.928 0.913 0.327
Ac9 0.851 0.337 0.173
Ac10 0.322 0.837 0.173
Ac11 0.233 0.233 0.000
Ac12 0.767 0.767 0.000
Sb1 0.999 0.499 0.997
Sb2 0.419 0.419 0.837
Sb3 0.831 0.331 0.663
Sb4 0.251 0.251 0.503
Sb5 0.749 0.749 0.497
Sb6 0.669 0.169 0.337
Sb7 0.581 0.581 0.163
Sb8 0.501 0.001 0.003
P1 0.917 0.917 0.833
P2 0.333 0.833 0.667
P3 0.167 0.667 0.333
P4 0.083 0.083 0.167

---

(8)
# PBE Ac4SbP3, relaxed
# calculated total energy = -5.96 eV/atom
# Fermi-level density of states = 0.95 states/eV/f.u.
# volume = 265.1 Å³ per cell
# crystal system = orthorhombic
# formation energy from raw total energies = -1.36 eV/atom
data_Ac4SbP3
_space_group_name_H-M_alt 'P 1'
_space_group_IT_number 1
_space_group_name_Hall 'P 1'
_cell_length_a 4.520
_cell_length_b 6.440
_cell_length_c 9.107
_cell_angle_alpha 90.00
_cell_angle_beta 90.00
_cell_angle_gamma 90.00
loop_
_atom_site_label
_atom_site_fract_x
_atom_site_fract_y
_atom_site_fract_z
Sb1 0.000 0.000 0.000
Ac1 0.000 0.500 0.500
Ac2 0.500 0.000 0.733
Ac3 0.000 0.500 0.000
Ac4 0.500 0.000 0.267
P1 0.500 0.500 0.254
P2 0.000 0.000 0.500
P3 0.500 0.500 0.746

---

(9)
# PBE Ac4Sb3P, relaxed
# calculated total energy = -5.53 eV/atom
# Fermi-level density of states = 1.07 states/eV/f.u.
# volume = 593.3 Å³ per cell
# crystal system = monoclinic
# formation energy from raw total energies = -1.25 eV/atom
data_Ac4Sb3P
_space_group_name_H-M_alt 'P 1'
_space_group_IT_number 1
_space_group_name_Hall 'P 1'
_cell_length_a 8.149
_cell_length_b 8.178
_cell_length_c 9.447
_cell_angle_alpha 90.00
_cell_angle_beta 90.00
_cell_angle_gamma 109.51
loop_
_atom_site_label
_atom_site_fract_x
_atom_site_fract_y
_atom_site_fract_z
Sb1 0.750 0.000 0.374
Sb2 0.250 0.000 0.626
Sb3 0.750 0.500 0.625
Sb4 0.750 0.500 0.124
Sb5 0.250 0.500 0.375
Sb6 0.250 0.500 0.876
Ac1 0.991 0.244 0.634
Ac2 0.503 0.235 0.883
Ac3 0.491 0.244 0.366
Ac4 0.003 0.235 0.117
Ac5 0.997 0.765 0.883
Ac6 0.509 0.756 0.634
Ac7 0.497 0.765 0.117
Ac8 0.009 0.756 0.366
P1 0.750 0.000 0.878
P2 0.250 0.000 0.122

---

(10)
# PBE AcSbP, relaxed
# calculated total energy = -5.23 eV/atom
# Fermi-level density of states = 2.07 states/eV/f.u.
# volume = 98.9 Å³ per cell
# crystal system = tetragonal
# formation energy from raw total energies = -0.68 eV/atom
# offset from the most stable computed form = 0.0 meV/atom
data_AcSbP
_space_group_name_H-M_alt 'P 1'
_space_group_IT_number 1
_space_group_name_Hall 'P 1'
_cell_length_a 4.294
_cell_length_b 4.294
_cell_length_c 6.163
_cell_angle_alpha 110.39
_cell_angle_beta 110.39
_cell_angle_gamma 90.00
loop_
_atom_site_label
_atom_site_fract_x
_atom_site_fract_y
_atom_site_fract_z
Sb1 0.029 0.029 0.059
Ac1 0.706 0.706 0.411
P1 0.265 0.265 0.530

---

What is the formula in the eighth record? Ac4SbP3